(1)
Material: KNaPmCl5
Method: DFT, PBE-GGA
State: optimized geometry

The value obtained for the formation energy from raw total energies is -2.07 eV/atom. The calculation puts the total energy at -131.94 eV per cell.

It has space group C2/c (No. 15), with a = 8.7497 Å, b = 13.0180 Å, c = 10.1896 Å, α = 90.00°, β = 110.46° and γ = 90.00°. The distinct sites, in fractional coordinates, are K at (0.0000, 0.1442, 0.2500), Na at (0.0000, 0.1858, 0.7500), Pm at (0.0000, 0.5000, 0.0000), Cl at (0.0000, 0.4148, 0.2500), Cl at (0.1222, 0.3152, 0.6106) and Cl at (0.1851, 0.0567, 0.9462).

(2)
Material: GaPO2
Method: DFT, PBE-GGA
State: optimized geometry

The value obtained for the formation energy from raw total energies is -0.53 eV/atom. The calculation puts the total energy at -81.94 eV per cell. The excess energy over the best structure of this formula in the dataset comes out at 588 meV/atom.

It has space group I-42d (No. 122), with a = 5.1295 Å, b = 5.1295 Å, c = 8.3884 Å, α = 90.00°, β = 90.00° and γ = 90.00°. The distinct sites, in fractional coordinates, are Ga at (0.0000, 0.0000, 0.0000), P at (0.0000, 0.0000, 0.5000) and O at (0.1698, 0.2500, 0.1250).

(3)
Material: RbCd3Rh
Method: DFT, PBE-GGA
State: optimized geometry

The calculated formation energy is -0.0115 eV per atom. The calculation puts the total energy at -44.49 eV per cell. The excess energy over the best structure of this formula in the dataset comes out at 96 meV/atom.

It has space group Cmcm (No. 63), with a = 4.4150 Å, b = 20.2217 Å, c = 6.3511 Å, α = 90.00°, β = 90.00° and γ = 90.00°. The distinct sites, in fractional coordinates, are Rb at (0.0000, 0.0713, 0.2500), Cd at (0.0000, 0.2944, 0.5137), Cd at (0.0000, 0.4141, 0.2500) and Rh at (0.0000, 0.1737, 0.7500).

(4)
Material: AuCBr2Cl
Method: DFT, PBE-GGA
State: optimized geometry

The value obtained for the formation energy from raw total energies is 1.14 eV/atom. The calculation puts the total energy at -11.98 eV per cell.

It has space group P4/mmm (No. 123), with a = 5.6001 Å, b = 5.6001 Å, c = 3.8719 Å, α = 90.00°, β = 90.00° and γ = 90.00°. The distinct sites, in fractional coordinates, are Au at (0.0000, 0.0000, 0.0000), C at (0.0000, 0.0000, 0.5000), Br at (0.0000, 0.5000, 0.0000) and Cl at (0.5000, 0.5000, 0.5000).